No. 1
Compound: Th3Ni2Au
Source: Alexandria via LeMat-Bulk
Functional: PBE
Structure: optimized geometry

extended XYZ file:
```
12
Lattice="-2.958 1.965 2.054 -3.114 -6.433 1.669 5.118 -0.453 7.804" Properties=species:S:1:pos:R:3 pbc="T T T"
Th 1.754 -0.601 7.197
Th -1.300 -0.208 2.423
Ni 0.544 0.383 4.513
Th 0.813 -3.749 8.854
Th 1.184 -2.420 4.020
Ni -1.650 -6.359 3.706
Ni 2.287 -3.353 6.500
Th -2.354 -3.592 4.141
Au 1.943 -6.582 9.094
Ni -0.330 -2.894 6.388
Au -1.218 -2.948 1.065
Th 0.228 -5.690 5.771
```

Output
The volume comes out at 23.44 Å³ per atom. The value obtained for the formation enthalpy at 0 K is -0.4349 eV/atom. The raw total energy comes out at -6.62 eV per atom.

No. 2
Compound: Th4NiAu
Source: Alexandria via LeMat-Bulk
Functional: PBE
Structure: optimized geometry

extended XYZ file:
```
12
Lattice="-5.587 -1.323 -1.487 1.225 -7.019 1.643 -2.126 1.241 6.885" Properties=species:S:1:pos:R:3 pbc="T T T"
Th -4.127 -2.076 5.525
Ni -1.847 -3.220 3.893
Au -1.397 -0.331 -0.372
Th -1.175 -0.402 4.775
Th 0.275 -5.376 3.754
Au -4.190 -0.993 -1.115
Ni -4.640 -3.882 3.149
Th -3.321 -1.442 1.934
Th 0.059 -2.227 1.760
Th -0.960 -3.552 6.769
Th -2.361 -5.026 1.517
Th -3.166 -5.660 5.107
```

Output
The volume comes out at 26.42 Å³ per atom. The value obtained for the formation enthalpy at 0 K is -0.3392 eV/atom. The raw total energy comes out at -6.80 eV per atom.

No. 3
Compound: ThNi2Au
Source: Alexandria via LeMat-Bulk
Functional: PBE
Structure: optimized geometry

extended XYZ file:
```
4
Lattice="-3.402 -1.104 -0.539 1.459 -2.545 -3.996 0.048 -2.294 4.394" Properties=species:S:1:pos:R:3 pbc="T T T"
Au -0.871 -2.985 -0.524
Ni -1.600 -1.713 1.474
Th 0.123 -2.307 3.951
Ni -0.847 -4.131 1.673
```

Output
The volume comes out at 19.56 Å³ per atom. The value obtained for the formation enthalpy at 0 K is -0.2547 eV/atom. The raw total energy comes out at -5.82 eV per atom.

No. 4
Compound: Th6NiAu3
Source: Alexandria via LeMat-Bulk
Functional: PBE
Structure: optimized geometry

extended XYZ file:
```
20
Lattice="6.563 0.000 0.062 0.000 8.232 0.000 0.188 0.000 10.400" Properties=species:S:1:pos:R:3 pbc="T T T"
Th 5.740 5.389 5.937
Th 1.264 0.425 7.929
Th 0.782 2.569 0.752
Au 0.094 0.000 5.200
Th 4.452 3.690 2.760
Ni 3.376 4.116 5.231
Th 5.487 7.806 2.533
Th 2.365 6.959 0.706
Au 2.778 1.072 2.690
Th 4.386 1.273 9.756
Th 2.300 4.541 7.701
Th 4.157 1.547 5.983
Au 3.973 7.160 7.772
Th 2.594 6.685 4.479
Au 3.281 4.116 0.031
Th 1.011 2.843 4.525
Ni 0.000 0.000 0.000
Th 5.970 5.663 9.710
Au 6.154 3.044 7.921
Au 0.598 5.188 2.541
```

Output
The volume comes out at 28.09 Å³ per atom. The value obtained for the formation enthalpy at 0 K is -0.3278 eV/atom. The raw total energy comes out at -6.34 eV per atom.